The following is a DFT calculation (PBE) of crystalline EuLuTlCd at its relaxed geometry.

abc: 5.407 5.407 5.407
angles: 60.00 60.00 60.00
Sites, in units of the cell vectors:
Eu  0.000  0.000  0.000
Lu  0.500  0.500  0.500
Tl  0.250  0.250  0.250
Cd  0.750  0.750  0.750

## Properties
* DFT total energy: -4.84 eV per atom
* space-group type: F-43m, No. 216